DFT (GGA-PBE) results for Ba4TaFe after structural relaxation.

Cell: 7.009 7.009 7.009 Å, 60.00 60.00 60.00°
Sites, in units of the cell vectors:
Ba  0.125  0.125  0.125
Ba  0.125  0.125  0.624
Ba  0.125  0.624  0.125
Ba  0.624  0.125  0.125
Ta  0.500  0.500  0.500
Fe  0.750  0.750  0.750

Output
* crystal system: cubic
* space-group type: F-43m
* formation energy from the elements: 9.22 eV/f.u.

---

DFT (GGA-PBE) results for Ac2NdHg after structural relaxation.

Cell: 11.499 11.499 11.499 Å, 19.84 19.84 19.84°
Sites, in units of the cell vectors:
Ac  0.000  0.000  0.000
Ac  0.182  0.182  0.182
Nd  0.424  0.424  0.424
Hg  0.591  0.591  0.591

Output
* crystal system: trigonal
* space-group type: R3m
* formation energy from the elements: -0.52 eV/f.u.
* E above lowest polymorph: 93 meV per atom

---

DFT (GGA-PBE) results for La6SmYTh2 after structural relaxation.

Cell: 8.791 8.791 10.767 Å, 97.82 97.82 117.77°
Sites, in units of the cell vectors:
La  0.013  0.567  0.167
La  0.106  0.743  0.544
La  0.257  0.894  0.956
La  0.312  0.508  0.383
La  0.433  0.987  0.333
La  0.492  0.688  0.117
La  0.508  0.312  0.883
La  0.567  0.013  0.667
La  0.688  0.492  0.617
La  0.743  0.106  0.044
La  0.894  0.257  0.456
La  0.987  0.433  0.833
Sm  0.009  0.991  0.250
Sm  0.991  0.009  0.750
Y  0.401  0.599  0.750
Y  0.599  0.401  0.250
Th  0.182  0.260  0.045
Th  0.260  0.182  0.545
Th  0.740  0.818  0.455
Th  0.818  0.740  0.955

Output
* crystal system: monoclinic
* space-group type: C2/c
* formation energy from the elements: 1.31 eV/f.u.

---

Number 1: electronic total energy -3.13 eV/atom. Number 2: electronic total energy -3.45 eV/atom. Number 3: electronic total energy -5.43 eV/atom.